A geometry-optimized NaHgW3 structure, computed with PBE.

a = 5.015 Å, b = 5.015 Å, c = 5.015 Å
α = 90.00°, β = 90.00°, γ = 90.00°
Space group Pm-3m (No. 221)
Unique sites:
Na 0.000 0.000 0.000 x1
Hg 0.500 0.500 0.500 x1
W 0.000 0.500 0.500 x3

## Properties
* magnetic moment: 0.000 μB/atom
* E above lowest polymorph: 97 meV/atom
* ΔH_f (0 K): 3.0545 eV/atom

A geometry-optimized ZrFeTeN2 structure, computed with PBE.

a = 3.877 Å, b = 3.877 Å, c = 4.931 Å
α = 90.00°, β = 90.00°, γ = 90.00°
Space group P4/mmm (No. 123)
Unique sites:
Zr 0.000 0.000 0.000 x1
Fe 0.500 0.500 0.500 x1
Te 0.500 0.500 0.000 x1
N 0.000 0.500 0.500 x2

## Properties
* magnetic moment: 0.363 μB/atom
* raw formation energy: 0.730 eV per atom
* E above lowest polymorph: 46 meV/atom

Question: Look up the magnetic moment of the second one.
Answer: 0.363 μB/atom